1.
Computed, not measured: an optimized crystal structure of CrCd2Os at the GGA-PBEsol level of DFT.

Lattice parameters (Å, degrees): 4.7851 4.7851 4.7851 129.20 129.20 74.68
Element x y z (fractional)
1 Cr 0.0000 0.0000 0.0000
2 Cd 0.5000 0.5000 0.0000
3 Cd 0.7500 0.2500 0.5000
4 Os 0.2500 0.7500 0.5000

Calculated values
Formation energy from the elements   627 meV/atom
Fermi-level density of states   4.6 states/eV/f.u.
Offset from the most stable computed form   0.026 eV per atom
E_tot   -5.59 eV per atom
SG   I-4m2 (119)

2.
Computed, not measured: an optimized crystal structure of Cr2CdOs at the GGA-PBEsol level of DFT.

Lattice parameters (Å, degrees): 2.7310 3.6668 5.6669 90.00 91.15 90.00
Element x y z (fractional)
1 Cr 0.0000 0.0000 0.0000
2 Cr 0.4240 0.5000 0.2036
3 Cd 0.4766 0.5000 0.7121
4 Os 0.9727 0.0000 0.4017

Calculated values
Formation energy from the elements   448 meV/atom
Fermi-level density of states   3.9 states/eV/f.u.
E_tot   -8.03 eV per atom
SG   Pm (6)

3.
Computed, not measured: an optimized crystal structure of Cr2CdOs at the GGA-PBEsol level of DFT.

Lattice parameters (Å, degrees): 2.8761 2.8761 6.8789 90.00 90.00 90.00
Element x y z (fractional)
1 Cr 0.0000 0.0000 0.0000
2 Cr 0.5000 0.5000 0.1930
3 Cd 0.5000 0.5000 0.7073
4 Os 0.0000 0.0000 0.4056

Calculated values
Formation energy from the elements   375 meV/atom
Fermi-level density of states   3.0 states/eV/f.u.
E_tot   -8.10 eV per atom
SG   P4mm (99)

4.
Computed, not measured: an optimized crystal structure of CrCd2Os at the GGA-PBEsol level of DFT.

Lattice parameters (Å, degrees): 5.0932 5.0932 5.0932 135.15 135.15 65.30
Element x y z (fractional)
1 Cr 0.0000 0.0000 0.0000
2 Cd 0.2500 0.7500 0.5000
3 Cd 0.7500 0.2500 0.5000
4 Os 0.5000 0.5000 0.0000

Calculated values
Formation energy from the elements   601 meV/atom
Fermi-level density of states   4.2 states/eV/f.u.
Offset from the most stable computed form   0.000 eV per atom
E_tot   -5.61 eV per atom
SG   I4/mmm (139)

5.
Computed, not measured: an optimized crystal structure of CrCdP2 at the GGA-PBEsol level of DFT.

Lattice parameters (Å, degrees): 2.8824 3.6256 6.6485 90.00 90.00 90.00
Element x y z (fractional)
1 Cr 0.0000 0.0000 0.0000
2 Cd 0.5000 0.5000 0.5432
3 P 0.0000 0.0000 0.3331
4 P 0.5000 0.5000 0.9261

Calculated values
Formation energy from the elements   119 meV/atom
Fermi-level density of states   1.7 states/eV/f.u.
E_tot   -5.64 eV per atom
SG   Pmm2 (25)

6.
Computed, not measured: an optimized crystal structure of CrCdP at the GGA-PBEsol level of DFT.

Lattice parameters (Å, degrees): 4.2462 4.2462 4.2462 60.00 60.00 60.00
Element x y z (fractional)
1 Cr 0.0000 0.0000 0.0000
2 Cd 0.7500 0.7500 0.7500
3 P 0.2500 0.2500 0.2500

Calculated values
Formation energy from the elements   357 meV/atom
Fermi-level density of states   1.7 states/eV/f.u.
E_tot   -5.39 eV per atom
SG   F-43m (216)